PBE Ca3CdP, relaxed; DOS(E_F) = 4.9 states/eV/cell; E above lowest polymorph = 0.025 eV/atom; DFT total energy = -3.099 eV/atom
1.0
6.3545 -2.8158 0.0000
6.3545 2.8158 0.0000
-2.5432 0.0000 8.7866
Ca Cd P
6 2 2
Cartesian
0.6124 0.0000 1.8086
0.5160 0.0000 5.5489
4.3882 0.0000 0.6955
5.7777 0.0000 8.0911
9.6499 0.0000 3.2377
9.5535 0.0000 6.9780
3.8302 0.0000 5.1472
6.3357 0.0000 3.6394
-0.6165 0.0000 8.1040
10.7824 0.0000 0.6826